A plane-wave DFT calculation with PBE-GGA was carried out for crystalline PdRhPb3 at its relaxed geometry.

Structure (CIF):
```
data_PdRhPb3
_cell_length_a 3.649
_cell_length_b 7.123
_cell_length_c 9.756
_cell_angle_alpha 70.95
_cell_angle_beta 90.00
_cell_angle_gamma 90.00
_symmetry_space_group_name_H-M 'P 1'
_symmetry_Int_Tables_number 1
_symmetry_space_group_name_Hall 'P 1'
loop_
_atom_site_label
_atom_site_type_symbol
_atom_site_fract_x
_atom_site_fract_y
_atom_site_fract_z
Pd1 Pd 0.250 0.036 0.272
Pd2 Pd 0.750 0.964 0.728
Rh1 Rh 0.750 0.537 0.770
Rh2 Rh 0.250 0.463 0.230
Pb1 Pb 0.250 0.766 0.564
Pb2 Pb 0.250 0.252 0.757
Pb3 Pb 0.250 0.714 0.931
Pb4 Pb 0.750 0.234 0.436
Pb5 Pb 0.750 0.286 0.069
Pb6 Pb 0.750 0.748 0.243
```

The value obtained for the energy of formation is -96 meV per atom. The energy above the most stable polymorph in this dataset is 0 meV/atom.


A plane-wave DFT calculation with PBE-GGA was carried out for crystalline CaYCoRe2 at its relaxed geometry.

Structure (CIF):
```
data_CaYCoRe2
_cell_length_a 4.997
_cell_length_b 4.798
_cell_length_c 4.997
_cell_angle_alpha 90.00
_cell_angle_beta 90.00
_cell_angle_gamma 90.00
_symmetry_space_group_name_H-M 'P 1'
_symmetry_Int_Tables_number 1
_symmetry_space_group_name_Hall 'P 1'
loop_
_atom_site_label
_atom_site_type_symbol
_atom_site_fract_x
_atom_site_fract_y
_atom_site_fract_z
Y1 Y 0.000 0.000 0.000
Re1 Re 0.000 0.000 0.500
Re2 Re 0.500 0.000 0.000
Ca1 Ca 0.500 0.500 0.500
Co1 Co 0.000 0.500 0.000
```

The value obtained for the energy of formation is 2036 meV per atom.


A plane-wave DFT calculation with PBE-GGA was carried out for crystalline KCr2Ir at its relaxed geometry.

Structure (CIF):
```
data_KCr2Ir
_cell_length_a 5.700
_cell_length_b 5.700
_cell_length_c 8.737
_cell_angle_alpha 70.96
_cell_angle_beta 70.96
_cell_angle_gamma 90.00
_symmetry_space_group_name_H-M 'P 1'
_symmetry_Int_Tables_number 1
_symmetry_space_group_name_Hall 'P 1'
loop_
_atom_site_label
_atom_site_type_symbol
_atom_site_fract_x
_atom_site_fract_y
_atom_site_fract_z
Cr1 Cr 0.876 0.125 0.250
Cr2 Cr 0.874 0.625 0.250
Cr3 Cr 0.375 0.124 0.750
Cr4 Cr 0.875 0.126 0.750
K1 K 0.500 0.500 0.000
K2 K 0.250 0.750 0.500
Ir1 Ir 0.000 0.000 0.000
Ir2 Ir 0.750 0.250 0.500
```

The value obtained for the energy of formation is 1068 meV per atom. The energy above the most stable polymorph in this dataset is 494 meV/atom.


A plane-wave DFT calculation with PBE-GGA was carried out for crystalline LiPrGd at its relaxed geometry.

Structure (CIF):
```
data_LiPrGd
_cell_length_a 3.711
_cell_length_b 3.711
_cell_length_c 6.977
_cell_angle_alpha 105.42
_cell_angle_beta 105.42
_cell_angle_gamma 90.00
_symmetry_space_group_name_H-M 'P 1'
_symmetry_Int_Tables_number 1
_symmetry_space_group_name_Hall 'P 1'
loop_
_atom_site_label
_atom_site_type_symbol
_atom_site_fract_x
_atom_site_fract_y
_atom_site_fract_z
Pr1 Pr 0.324 0.324 0.647
Gd1 Gd 0.012 0.012 0.024
Li1 Li 0.664 0.664 0.329
```

The value obtained for the energy of formation is 67 meV per atom. The energy above the most stable polymorph in this dataset is 0 meV/atom.


A plane-wave DFT calculation with PBE-GGA was carried out for crystalline BaNa2HgF8 at its relaxed geometry.

Structure (CIF):
```
data_BaNa2HgF8
_cell_length_a 4.433
_cell_length_b 5.542
_cell_length_c 7.977
_cell_angle_alpha 90.02
_cell_angle_beta 89.99
_cell_angle_gamma 93.48
_symmetry_space_group_name_H-M 'P 1'
_symmetry_Int_Tables_number 1
_symmetry_space_group_name_Hall 'P 1'
loop_
_atom_site_label
_atom_site_type_symbol
_atom_site_fract_x
_atom_site_fract_y
_atom_site_fract_z
Ba1 Ba 0.000 0.000 0.500
Na1 Na 0.500 0.500 0.763
Na2 Na 0.500 0.500 0.237
Hg1 Hg 0.000 0.000 0.000
F1 F 0.086 0.759 0.212
F2 F 0.602 0.766 0.000
F3 F 0.914 0.241 0.212
F4 F 0.914 0.241 0.788
F5 F 0.398 0.234 0.000
F6 F 0.086 0.759 0.788
F7 F 0.495 0.733 0.500
F8 F 0.505 0.267 0.500
```


A plane-wave DFT calculation with PBE-GGA was carried out for crystalline CrAuBr2 at its relaxed geometry.

Structure (CIF):
```
data_CrAuBr2
_cell_length_a 7.186
_cell_length_b 7.186
_cell_length_c 7.186
_cell_angle_alpha 148.63
_cell_angle_beta 148.63
_cell_angle_gamma 44.95
_symmetry_space_group_name_H-M 'P 1'
_symmetry_Int_Tables_number 1
_symmetry_space_group_name_Hall 'P 1'
loop_
_atom_site_label
_atom_site_type_symbol
_atom_site_fract_x
_atom_site_fract_y
_atom_site_fract_z
Au1 Au 0.750 0.250 0.500
Br1 Br 0.000 0.000 0.000
Br2 Br 0.250 0.750 0.500
Cr1 Cr 0.500 0.500 0.000
```

The energy above the most stable polymorph in this dataset is 372 meV/atom.


A plane-wave DFT calculation with PBE-GGA was carried out for crystalline La8Co2Sb at its relaxed geometry.

Structure (CIF):
```
data_La8Co2Sb
_cell_length_a 5.190
_cell_length_b 8.371
_cell_length_c 8.371
_cell_angle_alpha 113.02
_cell_angle_beta 96.01
_cell_angle_gamma 96.01
_symmetry_space_group_name_H-M 'P 1'
_symmetry_Int_Tables_number 1
_symmetry_space_group_name_Hall 'P 1'
loop_
_atom_site_label
_atom_site_type_symbol
_atom_site_fract_x
_atom_site_fract_y
_atom_site_fract_z
La1 La 0.566 0.309 0.069
La2 La 0.566 0.069 0.309
La3 La 0.200 0.394 0.394
La4 La 0.996 0.274 0.750
La5 La 0.996 0.750 0.274
La6 La 0.786 0.617 0.617
La7 La 0.451 0.946 0.686
La8 La 0.451 0.686 0.946
Co1 Co 0.491 0.686 0.299
Co2 Co 0.491 0.299 0.686
Sb1 Sb 0.007 0.004 0.004
```


A plane-wave DFT calculation with PBE-GGA was carried out for crystalline CaScCuAg at its relaxed geometry.

Structure (CIF):
```
data_CaScCuAg
_cell_length_a 4.928
_cell_length_b 4.928
_cell_length_c 4.928
_cell_angle_alpha 60.00
_cell_angle_beta 60.00
_cell_angle_gamma 60.00
_symmetry_space_group_name_H-M 'P 1'
_symmetry_Int_Tables_number 1
_symmetry_space_group_name_Hall 'P 1'
loop_
_atom_site_label
_atom_site_type_symbol
_atom_site_fract_x
_atom_site_fract_y
_atom_site_fract_z
Sc1 Sc 0.500 0.500 0.500
Ca1 Ca 0.000 0.000 0.000
Cu1 Cu 0.750 0.750 0.750
Ag1 Ag 0.250 0.250 0.250
```

The value obtained for the energy of formation is -136 meV per atom.


A plane-wave DFT calculation with PBE-GGA was carried out for crystalline K2CePCO7 at its relaxed geometry.

Structure (CIF):
```
data_K2CePCO7
_cell_length_a 7.360
_cell_length_b 5.689
_cell_length_c 10.212
_cell_angle_alpha 88.98
_cell_angle_beta 90.00
_cell_angle_gamma 90.00
_symmetry_space_group_name_H-M 'P 1'
_symmetry_Int_Tables_number 1
_symmetry_space_group_name_Hall 'P 1'
loop_
_atom_site_label
_atom_site_type_symbol
_atom_site_fract_x
_atom_site_fract_y
_atom_site_fract_z
K1 K 0.016 0.258 0.791
K2 K 0.484 0.258 0.791
K3 K 0.516 0.742 0.209
K4 K 0.984 0.742 0.209
Ce1 Ce 0.750 0.794 0.612
Ce2 Ce 0.250 0.206 0.388
P1 P 0.250 0.707 0.571
P2 P 0.750 0.293 0.429
C1 C 0.750 0.748 0.894
C2 C 0.250 0.252 0.106
O1 O 0.250 0.282 0.983
O2 O 0.750 0.956 0.836
O3 O 0.750 0.569 0.812
O4 O 0.076 0.809 0.636
O5 O 0.424 0.809 0.636
O6 O 0.750 0.223 0.578
O7 O 0.250 0.433 0.584
O8 O 0.750 0.567 0.416
O9 O 0.250 0.777 0.422
O10 O 0.576 0.191 0.364
O11 O 0.924 0.191 0.364
O12 O 0.250 0.431 0.188
O13 O 0.250 0.044 0.164
O14 O 0.750 0.718 0.017
```


A plane-wave DFT calculation with PBE-GGA was carried out for crystalline Ce2PrYN4 at its relaxed geometry.

Structure (CIF):
```
data_Ce2PrYN4
_cell_length_a 3.575
_cell_length_b 6.204
_cell_length_c 6.183
_cell_angle_alpha 109.47
_cell_angle_beta 90.00
_cell_angle_gamma 90.00
_symmetry_space_group_name_H-M 'P 1'
_symmetry_Int_Tables_number 1
_symmetry_space_group_name_Hall 'P 1'
loop_
_atom_site_label
_atom_site_type_symbol
_atom_site_fract_x
_atom_site_fract_y
_atom_site_fract_z
Ce1 Ce 0.500 0.000 0.500
Ce2 Ce 0.000 0.500 0.500
Pr1 Pr 0.500 0.500 0.000
Y1 Y 0.000 0.000 0.000
N1 N 0.500 0.244 0.256
N2 N 0.500 0.756 0.744
N3 N 0.000 0.237 0.737
N4 N 0.000 0.763 0.263
```


A plane-wave DFT calculation with PBE-GGA was carried out for crystalline Nb4Mo3W at its relaxed geometry.

Structure (CIF):
```
data_Nb4Mo3W
_cell_length_a 3.234
_cell_length_b 3.234
_cell_length_c 12.938
_cell_angle_alpha 90.00
_cell_angle_beta 90.00
_cell_angle_gamma 90.00
_symmetry_space_group_name_H-M 'P 1'
_symmetry_Int_Tables_number 1
_symmetry_space_group_name_Hall 'P 1'
loop_
_atom_site_label
_atom_site_type_symbol
_atom_site_fract_x
_atom_site_fract_y
_atom_site_fract_z
Nb1 Nb 0.000 0.000 0.874
Nb2 Nb 0.000 0.000 0.126
Nb3 Nb 0.000 0.000 0.375
Nb4 Nb 0.000 0.000 0.625
Mo1 Mo 0.500 0.500 0.250
Mo2 Mo 0.500 0.500 0.500
Mo3 Mo 0.500 0.500 0.750
W1 W 0.500 0.500 0.000
```

The value obtained for the energy of formation is -121 meV per atom. The energy above the most stable polymorph in this dataset is 0 meV/atom.


Number 1: raw total energy -0.177 Ha/atom, D(E_F) 1.7 states/eV/f.u.. Number 2: raw total energy -0.223 Ha/atom, D(E_F) 5.8 states/eV/f.u.. Number 3: raw total energy -0.229 Ha/atom, D(E_F) 2.2 states/eV/f.u.. Number 4: raw total energy -0.252 Ha/atom, D(E_F) 3.8 states/eV/f.u.. Number 5: raw total energy -0.143 Ha/atom, D(E_F) 3.9 states/eV/f.u.. Number 6: raw total energy -0.144 Ha/atom, D(E_F) 1.0 states/eV/f.u.. Number 7: raw total energy -0.200 Ha/atom, D(E_F) 13.8 states/eV/f.u.. Number 8: raw total energy -0.145 Ha/atom, D(E_F) 4.4 states/eV/f.u.. Number 9: raw total energy -0.262 Ha/atom, D(E_F) 2.6 states/eV/f.u.. Number 10: raw total energy -0.314 Ha/atom, D(E_F) 4.7 states/eV/f.u.. Number 11: raw total energy -0.398 Ha/atom, D(E_F) 4.6 states/eV/f.u..